Here is a relaxed Ca3AlNi3 crystal from the Alexandria database. Energies are from PBE.

```
Ca3AlNi3
1.0
2.029 -5.330 0.000
2.029 5.330 0.000
0.000 0.000 13.229
Ca Al Ni
6 2 6
direct
0.005 0.995 0.750 Ca
0.280 0.720 0.107 Ca
0.280 0.720 0.393 Ca
0.720 0.280 0.607 Ca
0.720 0.280 0.893 Ca
0.995 0.005 0.250 Ca
0.000 0.000 0.000 Al
0.000 0.000 0.500 Al
0.322 0.678 0.750 Ni
0.431 0.569 0.587 Ni
0.431 0.569 0.913 Ni
0.569 0.431 0.087 Ni
0.569 0.431 0.413 Ni
0.678 0.322 0.250 Ni
```

Computed properties:
DOS(E_F)	0.506	states/eV/atom
ΔE_f	-0.278	eV/atom
crystal system	orthorhombic

---

Here is a relaxed Sr2Cd5PdRh2 crystal from the Alexandria database. Energies are from PBE.

```
Sr2Cd5PdRh2
1.0
10.616 0.000 0.000
0.000 10.616 0.000
0.000 0.000 3.978
Sr Cd Pd Rh
4 10 2 4
direct
0.175 0.325 0.000 Sr
0.325 0.825 0.000 Sr
0.675 0.175 0.000 Sr
0.825 0.675 0.000 Sr
0.000 0.500 0.500 Cd
0.059 0.805 0.500 Cd
0.195 0.059 0.500 Cd
0.305 0.559 0.500 Cd
0.441 0.305 0.500 Cd
0.500 0.000 0.500 Cd
0.559 0.695 0.500 Cd
0.695 0.441 0.500 Cd
0.805 0.941 0.500 Cd
0.941 0.195 0.500 Cd
0.000 0.000 0.000 Pd
0.500 0.500 0.000 Pd
0.127 0.627 0.000 Rh
0.373 0.127 0.000 Rh
0.627 0.873 0.000 Rh
0.873 0.373 0.000 Rh
```

Computed properties:
DOS(E_F)	0.332	states/eV/atom
ΔE_f	-0.278	eV/atom
crystal system	tetragonal

---

Here is a relaxed KSe2Br4 crystal from the Alexandria database. Energies are from PBE.

```
KSe2Br4
1.0
7.608 0.000 0.000
3.718 8.020 0.000
0.324 2.112 9.450
K Se Br
2 4 8
direct
0.000 0.000 0.000 K
0.241 0.560 0.666 K
0.288 0.237 0.338 Se
0.322 0.461 0.203 Se
0.564 0.090 0.832 Se
0.595 0.801 0.802 Se
0.135 0.711 0.319 Br
0.231 0.932 0.698 Br
0.476 0.892 0.058 Br
0.558 0.352 0.959 Br
0.644 0.212 0.598 Br
0.717 0.761 0.569 Br
0.942 0.641 0.924 Br
0.988 0.240 0.256 Br
```

Computed properties:
DOS(E_F)	0.000	states/eV/atom
E_form (uncorrected)	-557	meV/atom
crystal system	triclinic

---

Here is a relaxed Re5Hg crystal from the Alexandria database. Energies are from PBE.

```
Re5Hg
1.0
4.515 0.000 0.000
0.000 1.403 7.431
0.000 -1.403 7.431
Re Hg
5 1
direct
0.000 0.000 0.000 Re
0.000 0.318 0.318 Re
0.000 0.658 0.658 Re
0.500 0.213 0.213 Re
0.500 0.559 0.559 Re
0.500 0.886 0.886 Hg
```

Computed properties:
DOS(E_F)	0.779	states/eV/atom
ΔE_f	0.355	eV/atom
ΔE to the lowest computed polymorph	0	meV/atom
crystal system	orthorhombic

---

| no. | E (eV/atom) |
| --- | --- |
| 1 | -4.148 |
| 2 | -3.061 |
| 3 | -2.665 |
| 4 | -10.069 |